Arrangement 1

Computed, not measured: a relaxed structure of LaSmTm6 at the PBE-GGA level of DFT.

```
LaSmTm6
1.0
-1.128 7.758 3.591
-5.031 5.845 -3.857
-5.491 3.020 2.102
La Sm Tm
1 1 6
Direct
0.000 0.000 0.000
0.500 0.500 0.500
0.845 0.845 0.828
0.481 0.845 0.828
0.155 0.519 0.172
0.519 0.155 0.172
0.155 0.155 0.172
0.845 0.481 0.828
```

Values from the calculation:
DOS at the Fermi energy in states/eV/cell: 11.47



Arrangement 2

Computed, not measured: a relaxed structure of LaSmTm6 at the PBE-GGA level of DFT.

```
LaSmTm6
1.0
5.740 -0.354 -2.196
-2.556 5.597 -0.184
-1.020 0.662 9.192
La Sm Tm
1 1 6
Direct
0.500 0.000 0.500
0.000 0.000 0.000
0.355 0.457 0.297
0.840 0.941 0.297
0.160 0.059 0.703
0.645 0.543 0.703
0.702 0.379 0.081
0.298 0.621 0.919
```

Values from the calculation:
DOS at the Fermi energy in states/eV/cell: 11.97



So which one is most stable? That would be arrangement 2, about 200 meV per atom below the next structure.